Compound: NdAs6
Source: Alexandria
Functional: PBE
Structure: relaxed

## Properties
Formation energy = 0.307 eV/atom
Calculated total energy = -4.360 eV/atom
Density of states at the Fermi level = 1.03 states/eV per atom

Cell and atoms, written as CIF:
```
data_NdAs6
_cell_length_a 7.2874
_cell_length_b 7.2874
_cell_length_c 7.2874
_cell_angle_alpha 90.00
_cell_angle_beta 90.00
_cell_angle_gamma 90.00
_symmetry_space_group_name_H-M 'I m -3 m'
_symmetry_Int_Tables_number 229
_symmetry_space_group_name_Hall '-I 4 2 3'
loop_
_atom_site_label
_atom_site_type_symbol
_atom_site_fract_x
_atom_site_fract_y
_atom_site_fract_z
Nd1 Nd 0.0000 0.0000 0.0000
As1 As 0.0000 0.2500 0.5000
```

---

Compound: Th2Cu3AgGe4
Source: Alexandria
Functional: PBE
Structure: relaxed

## Properties
Formation energy = -0.441 eV/atom
Calculated total energy = -5.286 eV/atom
Density of states at the Fermi level = 0.29 states/eV per atom

Cell and atoms, written as CIF:
```
data_Th2Cu3AgGe4
_cell_length_a 4.2559
_cell_length_b 4.2559
_cell_length_c 10.2886
_cell_angle_alpha 90.00
_cell_angle_beta 90.00
_cell_angle_gamma 90.00
_symmetry_space_group_name_H-M 'P -4 m 2'
_symmetry_Int_Tables_number 115
loop_
_symmetry_equiv_pos_as_xyz
'x,y,z'
'y,-x,-z'
'-x,-y,z'
'-y,x,-z'
'-x,y,z'
'-y,-x,-z'
'x,-y,z'
'y,x,-z'
loop_
_atom_site_label
_atom_site_type_symbol
_atom_site_fract_x
_atom_site_fract_y
_atom_site_fract_z
Th1 Th 0.0000 0.5000 0.2455
Cu1 Cu 0.0000 0.5000 0.8749
Cu2 Cu 0.5000 0.5000 0.5000
Ag1 Ag 0.0000 0.0000 0.5000
Ge1 Ge 0.0000 0.0000 0.0000
Ge2 Ge 0.0000 0.5000 0.6439
Ge3 Ge 0.5000 0.5000 0.0000
```

---

Compound: CrHPd3
Source: Alexandria
Functional: PBE
Structure: relaxed

## Properties
Calculated total energy = -5.693 eV/atom
Relative energy among the computed polymorphs = 107 meV/atom
Density of states at the Fermi level = 0.62 states/eV per atom

Cell and atoms, written as CIF:
```
data_CrHPd3
_cell_length_a 5.0933
_cell_length_b 5.1128
_cell_length_c 5.3741
_cell_angle_alpha 97.76
_cell_angle_beta 97.29
_cell_angle_gamma 113.89
_symmetry_space_group_name_H-M 'P 1'
_symmetry_Int_Tables_number 1
loop_
_symmetry_equiv_pos_as_xyz
'x,y,z'
loop_
_atom_site_label
_atom_site_type_symbol
_atom_site_fract_x
_atom_site_fract_y
_atom_site_fract_z
Cr1 Cr 0.0000 0.0000 0.0000
Cr2 Cr 0.3424 0.3443 0.0059
H1 H 0.5948 0.5938 0.7405
H2 H 0.6039 0.0312 0.5371
Pd1 Pd 0.2292 0.7301 0.2547
Pd2 Pd 0.2808 0.2858 0.5034
Pd3 Pd 0.3854 0.8479 0.7879
Pd4 Pd 0.7309 0.2332 0.2563
Pd5 Pd 0.7981 0.7948 0.4946
Pd6 Pd 0.8493 0.3919 0.7919
```